one | BaSmO2 | Alexandria via LeMat-Bulk | GGA-PBE | optimized geometry; symmetry = R3m (160)
1.0
1.804 1.042 6.643
-1.804 1.042 6.643
0.000 -2.083 6.643
Ba Sm O
1 1 2
direct
0.000 0.000 0.000
0.174 0.174 0.174
0.569 0.569 0.569
0.779 0.779 0.779



two | BaSmO2 | Alexandria via LeMat-Bulk | GGA-PBE | optimized geometry; symmetry = Pnma (62)
1.0
6.655 0.000 0.000
0.000 3.498 0.000
0.000 0.000 13.634
Ba Sm O
4 4 8
direct
0.002 0.250 0.130
0.498 0.750 0.630
0.502 0.250 0.370
0.998 0.750 0.870
0.017 0.250 0.392
0.483 0.750 0.892
0.517 0.250 0.108
0.983 0.750 0.608
0.173 0.750 0.311
0.202 0.250 0.534
0.298 0.750 0.034
0.327 0.250 0.811
0.673 0.750 0.189
0.702 0.250 0.966
0.798 0.750 0.466
0.827 0.250 0.689



three | BaSmO2 | Alexandria via LeMat-Bulk | GGA-PBE | optimized geometry; symmetry = R-3m (166)
1.0
1.821 1.052 6.331
-1.821 1.052 6.331
0.000 -2.103 6.331
Ba Sm O
1 1 2
direct
0.000 0.000 0.000
0.500 0.500 0.500
0.230 0.230 0.230
0.770 0.770 0.770



Which of them is the most stable, and which is the least stable? three and two, in that order.



one | Ba4Sn2O | Alexandria via LeMat-Bulk | GGA-PBE | optimized geometry; symmetry = P2_1/m (11)
1.0
8.420 0.000 0.000
0.000 7.709 0.000
-2.191 0.000 8.706
Ba Sn O
8 4 2
direct
0.076 0.250 0.378
0.272 0.002 0.064
0.272 0.498 0.064
0.413 0.750 0.561
0.587 0.250 0.439
0.728 0.502 0.936
0.728 0.998 0.936
0.924 0.750 0.622
0.002 0.750 0.242
0.360 0.250 0.743
0.640 0.750 0.257
0.998 0.250 0.758
0.315 0.250 0.250
0.685 0.750 0.750



two | Ba4Sn2O | Alexandria via LeMat-Bulk | GGA-PBE | optimized geometry; symmetry = I4/mmm (139)
1.0
-2.754 2.754 8.810
2.754 -2.754 8.810
2.754 2.754 -8.810
Ba Sn O
4 2 1
direct
0.000 0.500 0.500
0.167 0.167 0.000
0.500 0.000 0.500
0.833 0.833 0.000
0.369 0.369 0.000
0.631 0.631 0.000
0.000 0.000 0.000



Which of them is the most stable, and which is the least stable? one and two, in that order.



one | Ba4Sn3O10 | Alexandria via LeMat-Bulk | GGA-PBE | optimized geometry; symmetry = Cmce (64)
1.0
3.031 -6.779 0.000
3.031 6.779 0.000
0.000 0.000 14.093
Ba Sn O
8 6 20
direct
0.032 0.968 0.857
0.236 0.764 0.616
0.264 0.736 0.116
0.468 0.532 0.357
0.532 0.468 0.643
0.736 0.264 0.884
0.764 0.236 0.384
0.968 0.032 0.143
0.000 0.000 0.500
0.135 0.865 0.345
0.365 0.635 0.845
0.500 0.500 0.000
0.635 0.365 0.155
0.865 0.135 0.655
0.034 0.966 0.644
0.116 0.340 0.539
0.140 0.360 0.750
0.160 0.384 0.961
0.219 0.781 0.832
0.281 0.719 0.332
0.340 0.116 0.461
0.360 0.140 0.250
0.384 0.160 0.039
0.466 0.534 0.144
0.534 0.466 0.856
0.616 0.840 0.961
0.640 0.860 0.750
0.660 0.884 0.539
0.719 0.281 0.668
0.781 0.219 0.168
0.840 0.616 0.039
0.860 0.640 0.250
0.884 0.660 0.461
0.966 0.034 0.356



two | Ba4Sn3O10 | Alexandria via LeMat-Bulk | GGA-PBE | optimized geometry; symmetry = I4/mmm (139)
1.0
-2.102 2.102 15.089
2.102 -2.102 15.089
2.102 2.102 -15.089
Ba Sn O
4 3 10
direct
0.069 0.069 0.000
0.203 0.203 0.000
0.797 0.797 0.000
0.931 0.931 0.000
0.361 0.361 0.000
0.500 0.500 0.000
0.639 0.639 0.000
0.000 0.500 0.500
0.138 0.638 0.500
0.292 0.292 0.000
0.362 0.862 0.500
0.431 0.431 0.000
0.500 0.000 0.500
0.569 0.569 0.000
0.638 0.138 0.500
0.708 0.708 0.000
0.862 0.362 0.500



Which of them is the most stable, and which is the least stable? two and one, in that order.



one | BaZr2SnO6 | Alexandria via LeMat-Bulk | GGA-PBE | optimized geometry; symmetry = Cmmm (65)
1.0
4.146 -4.231 0.000
4.146 4.231 0.000
0.000 0.000 4.257
Ba Zr Sn O
1 2 1 6
direct
0.000 0.000 0.000
0.000 0.500 0.500
0.500 0.000 0.500
0.500 0.500 0.000
0.000 0.500 0.000
0.207 0.793 0.500
0.295 0.295 0.500
0.500 0.000 0.000
0.705 0.705 0.500
0.793 0.207 0.500



two | BaZr2SnO6 | Alexandria via LeMat-Bulk | GGA-PBE | optimized geometry; symmetry = P4/mmm (123)
1.0
4.227 0.000 0.000
0.000 4.227 0.000
0.000 0.000 8.446
Ba Zr Sn O
1 2 1 6
direct
0.000 0.000 0.000
0.500 0.500 0.253
0.500 0.500 0.747
0.000 0.000 0.500
0.000 0.500 0.252
0.000 0.500 0.748
0.500 0.000 0.252
0.500 0.000 0.748
0.500 0.500 0.000
0.500 0.500 0.500



Which of them is the most stable, and which is the least stable? one and two, in that order.



one | BaSrO | Alexandria via LeMat-Bulk | GGA-PBE | optimized geometry; symmetry = P3m1 (156)
1.0
3.890 0.000 0.000
-1.945 3.369 0.000
0.000 0.000 7.137
Ba Sr O
1 1 1
direct
0.000 0.000 0.000
0.667 0.333 0.571
0.333 0.667 0.734



two | BaSrO | Alexandria via LeMat-Bulk | GGA-PBE | optimized geometry; symmetry = C2/m (12)
1.0
8.013 -2.148 0.000
8.013 2.148 0.000
-3.058 0.000 7.058
Ba Sr O
2 2 2
direct
0.115 0.115 0.266
0.885 0.885 0.734
0.343 0.343 0.141
0.657 0.657 0.859
0.178 0.178 0.026
0.822 0.822 0.974



Which of them is the most stable, and which is the least stable? two and one, in that order.



one | Ba3SrO | Alexandria via LeMat-Bulk | GGA-PBE | optimized geometry; symmetry = Pm-3m (221)
1.0
5.901 0.000 0.000
0.000 5.901 0.000
0.000 0.000 5.901
Ba Sr O
3 1 1
direct
0.000 0.000 0.500
0.000 0.500 0.000
0.500 0.000 0.000
0.500 0.500 0.500
0.000 0.000 0.000



two | Ba3SrO | Alexandria via LeMat-Bulk | GGA-PBE | optimized geometry; symmetry = Pm-3m (221)
1.0
6.636 0.000 0.000
0.000 6.636 0.000
0.000 0.000 6.636
Ba Sr O
3 1 1
direct
0.000 0.000 0.500
0.000 0.500 0.000
0.500 0.000 0.000
0.000 0.000 0.000
0.500 0.500 0.500



Which of them is the most stable, and which is the least stable? one and two, in that order.



one | BaSrTbTiO6 | Alexandria via LeMat-Bulk | GGA-PBE | optimized geometry; symmetry = P-1 (2)
1.0
5.942 0.000 0.000
0.025 5.943 0.000
0.034 0.020 8.385
Ba Sr Tb Ti O
2 2 2 2 12
direct
0.009 0.004 0.250
0.991 0.996 0.750
0.484 0.498 0.751
0.516 0.502 0.249
0.000 0.500 0.500
0.500 0.000 0.000
0.000 0.500 0.000
0.500 0.000 0.500
0.040 0.462 0.767
0.213 0.754 0.992
0.250 0.783 0.513
0.260 0.294 0.037
0.288 0.255 0.462
0.480 0.056 0.733
0.520 0.944 0.267
0.712 0.745 0.538
0.740 0.706 0.963
0.750 0.217 0.487
0.787 0.246 0.008
0.960 0.538 0.233



two | BaSrTbTiO6 | Alexandria via LeMat-Bulk | GGA-PBE | optimized geometry; symmetry = F-43m (216)
1.0
0.000 4.213 4.213
4.213 0.000 4.213
4.213 4.213 0.000
Ba Sr Tb Ti O
1 1 1 1 6
direct
0.000 0.000 0.000
0.500 0.500 0.500
0.750 0.750 0.750
0.250 0.250 0.250
0.016 0.016 0.484
0.016 0.484 0.016
0.016 0.484 0.484
0.484 0.016 0.016
0.484 0.016 0.484
0.484 0.484 0.016



Which of them is the most stable, and which is the least stable? one and two, in that order.



one | Ba2Ta2O7 | Alexandria via LeMat-Bulk | GGA-PBE | optimized geometry; symmetry = Cmcm (63)
1.0
2.037 -13.973 0.000
2.037 13.973 0.000
0.000 0.000 5.942
Ba Ta O
4 4 14
direct
0.052 0.948 0.750
0.207 0.793 0.250
0.793 0.207 0.750
0.948 0.052 0.250
0.341 0.659 0.250
0.444 0.556 0.750
0.556 0.444 0.250
0.659 0.341 0.750
0.049 0.951 0.250
0.150 0.850 0.750
0.295 0.705 0.023
0.295 0.705 0.477
0.400 0.600 0.502
0.400 0.600 0.998
0.500 0.500 0.000
0.500 0.500 0.500
0.600 0.400 0.002
0.600 0.400 0.498
0.705 0.295 0.523
0.705 0.295 0.977
0.850 0.150 0.250
0.951 0.049 0.750



two | Ba2Ta2O7 | Alexandria via LeMat-Bulk | GGA-PBE | optimized geometry; symmetry = Imma (74)
1.0
-3.860 5.408 4.031
3.860 -5.408 4.031
3.860 5.408 -4.031
Ba Ta O
4 4 14
direct
0.000 0.000 0.000
0.500 0.000 0.000
0.500 0.000 0.500
0.500 0.500 0.500
0.000 0.000 0.500
0.000 0.500 0.000
0.000 0.500 0.500
0.500 0.500 0.000
0.036 0.228 0.430
0.036 0.607 0.808
0.085 0.835 0.250
0.299 0.228 0.692
0.299 0.607 0.070
0.300 0.709 0.590
0.381 0.291 0.090
0.619 0.709 0.910
0.700 0.291 0.410
0.701 0.393 0.930
0.701 0.772 0.308
0.915 0.165 0.750
0.964 0.393 0.192
0.964 0.772 0.570



three | Ba2Ta2O7 | Alexandria via LeMat-Bulk | GGA-PBE | optimized geometry; symmetry = C2/m (12)
1.0
4.032 -5.342 0.000
4.032 5.342 0.000
-1.139 0.000 5.427
Ba Ta O
2 2 7
direct
0.194 0.806 0.000
0.806 0.194 0.000
0.279 0.279 0.588
0.721 0.721 0.412
0.117 0.117 0.299
0.120 0.405 0.772
0.405 0.120 0.772
0.500 0.500 0.500
0.595 0.880 0.228
0.880 0.595 0.228
0.883 0.883 0.701



Which of them is the most stable, and which is the least stable? one and three, in that order.